First-principles (meta-GGA SCAN) data for a crystal of Na2NbCuBr relaxed with PBEsol, as listed in the Alexandria database.

Cell and atoms, written as CIF:
```
data_Na2NbCuBr
_chemical_formula_sum 'Na2 Nb1 Cu1 Br1'
_symmetry_space_group_name_H-M 'P 1'
_symmetry_Int_Tables_number 1
_symmetry_space_group_name_Hall 'P 1'
_cell_length_a 5.4421
_cell_length_b 5.4421
_cell_length_c 4.6303
_cell_angle_alpha 90.00
_cell_angle_beta 90.00
_cell_angle_gamma 90.00
loop_
_atom_site_label
_atom_site_type_symbol
_atom_site_fract_x
_atom_site_fract_y
_atom_site_fract_z
Na1 Na 0.0000 0.5000 0.0000
Na2 Na 0.5000 0.0000 0.0000
Nb1 Nb 0.0000 0.0000 0.5000
Cu1 Cu 0.5000 0.5000 0.0000
Br1 Br 0.5000 0.5000 0.5000
```

Calculated values
formation energy without anion corrections = 0.88 eV per atom